# 1
Nd3In3Pd2Au: optimized geometry, GGA-PBE.

abc: 7.818 7.818 4.079
angles: 90.00 90.00 120.00
Sites, in units of the cell vectors:
Pd 0.667 0.333 0.000
Pd 0.333 0.667 0.000
Nd 0.000 0.590 0.500
Nd 0.410 0.410 0.500
Nd 0.590 0.000 0.500
In 0.261 0.000 0.000
In 0.000 0.261 0.000
In 0.739 0.739 0.000
Au 0.000 0.000 0.500

# 2
NdIn2PdAu: optimized geometry, GGA-PBE.

abc: 4.544 4.544 11.337
angles: 90.00 90.00 90.00
Sites, in units of the cell vectors:
Au 0.000 0.500 0.355
Au 0.500 0.000 0.645
In 0.000 0.500 0.122
In 0.500 0.500 0.500
In 0.500 0.000 0.878
In 0.000 0.000 0.500
Nd 0.000 0.500 0.762
Nd 0.500 0.000 0.238
Pd 0.000 0.000 0.000
Pd 0.500 0.500 0.000

# 3
Tb2NdIn3PdAu2: optimized geometry, GGA-PBE.

abc: 4.001 7.810 7.810
angles: 120.19 90.00 90.00
Sites, in units of the cell vectors:
In 0.500 0.251 0.251
In 0.500 0.001 0.749
In 0.500 0.749 0.001
Pd 0.000 0.004 0.004
Au 0.500 0.328 0.669
Au 0.500 0.669 0.328
Tb 0.000 0.407 0.000
Tb 0.000 0.000 0.407
Nd 0.000 0.591 0.591

# 4
Pr2NdIn3Pt2Au: optimized geometry, GGA-PBE.

abc: 4.065 7.836 7.836
angles: 119.97 90.00 90.00
Sites, in units of the cell vectors:
Pr 0.000 0.000 0.587
Pr 0.000 0.587 0.000
Nd 0.000 0.413 0.413
Pt 0.500 0.334 0.665
Pt 0.500 0.665 0.334
In 0.500 0.260 0.001
In 0.500 0.001 0.260
In 0.500 0.740 0.740
Au 0.000 0.001 0.001

Theoretical density in g cm⁻³, matching the order above: 9.13, 9.61, 10.29, 10.43
E in Ry/atom, matching the order above: -0.3508, -0.3159, -0.3349, -0.3738